PBE+U PaMn2CuO6, optimized geometry; space group = P1 (1); V = 112.1 Å³/cell; raw total energy = -7.52 eV per atom
1.0
-5.281 -0.768 -0.065
-2.183 -3.059 -3.757
-2.048 -4.954 1.387
Pa Mn Cu O
1 2 1 6
Direct
0.802 0.809 0.586 Pa
0.518 0.510 0.457 Mn
0.016 0.014 0.955 Mn
0.275 0.277 0.175 Cu
0.644 0.244 0.224 O
0.241 0.886 0.229 O
0.880 0.643 0.233 O
0.373 0.754 0.720 O
0.760 0.148 0.721 O
0.153 0.376 0.717 O